1.
# RbScC PBE relaxed
data_RbScC
_chemical_formula_sum 'Rb2 Sc2 C2'
_cell_length_a 3.785
_cell_length_b 3.785
_cell_length_c 12.449
_cell_angle_alpha 90.00
_cell_angle_beta 90.00
_cell_angle_gamma 120.00
_space_group_name_H-M_alt 'P 1'
_space_group_IT_number 1
loop_
_space_group_symop_operation_xyz
'x,y,z'
loop_
_atom_site_label
_atom_site_type_symbol
_atom_site_fract_x
_atom_site_fract_y
_atom_site_fract_z
Rb1 Rb 0.000 0.000 0.000
Rb2 Rb 0.000 0.000 0.500
Sc1 Sc 0.667 0.333 0.241
Sc2 Sc 0.667 0.333 0.759
C1 C 0.333 0.667 0.216
C2 C 0.333 0.667 0.784
# ΔH_f (0 K) in eV/atom: 0.5236
# Calculated total energy in eV/atom: -4.98

---

2.
# BaLa2Co PBE relaxed
data_BaLa2Co
_chemical_formula_sum 'Ba2 La4 Co2'
_cell_length_a 8.031
_cell_length_b 8.031
_cell_length_c 8.031
_cell_angle_alpha 60.00
_cell_angle_beta 60.00
_cell_angle_gamma 60.00
_space_group_name_H-M_alt 'P 1'
_space_group_IT_number 1
loop_
_space_group_symop_operation_xyz
'x,y,z'
loop_
_atom_site_label
_atom_site_type_symbol
_atom_site_fract_x
_atom_site_fract_y
_atom_site_fract_z
Ba1 Ba 0.125 0.125 0.125
Ba2 Ba 0.875 0.875 0.875
La1 La 0.000 0.500 0.500
La2 La 0.500 0.000 0.500
La3 La 0.500 0.500 0.000
La4 La 0.500 0.500 0.500
Co1 Co 0.375 0.375 0.375
Co2 Co 0.625 0.625 0.625
# ΔH_f (0 K) in eV/atom: 0.1745
# Calculated total energy in eV/atom: -4.55

---

3.
# Hf2AlSn PBE relaxed
data_Hf2AlSn
_chemical_formula_sum 'Hf2 Al1 Sn1'
_cell_length_a 4.338
_cell_length_b 4.338
_cell_length_c 4.320
_cell_angle_alpha 90.00
_cell_angle_beta 90.00
_cell_angle_gamma 90.00
_space_group_name_H-M_alt 'P 1'
_space_group_IT_number 1
loop_
_space_group_symop_operation_xyz
'x,y,z'
loop_
_atom_site_label
_atom_site_type_symbol
_atom_site_fract_x
_atom_site_fract_y
_atom_site_fract_z
Hf1 Hf 0.000 0.500 0.000
Hf2 Hf 0.500 0.000 0.000
Al1 Al 0.000 0.000 0.500
Sn1 Sn 0.500 0.500 0.500
# ΔH_f (0 K) in eV/atom: -0.3006
# Calculated total energy in eV/atom: -7.21

---

4.
# Sr2TiAg PBE relaxed
data_Sr2TiAg
_chemical_formula_sum 'Sr4 Ti2 Ag2'
_cell_length_a 7.157
_cell_length_b 7.157
_cell_length_c 7.157
_cell_angle_alpha 102.98
_cell_angle_beta 102.98
_cell_angle_gamma 123.42
_space_group_name_H-M_alt 'P 1'
_space_group_IT_number 1
loop_
_space_group_symop_operation_xyz
'x,y,z'
loop_
_atom_site_label
_atom_site_type_symbol
_atom_site_fract_x
_atom_site_fract_y
_atom_site_fract_z
Sr1 Sr 0.089 0.125 0.464
Sr2 Sr 0.375 0.911 0.036
Sr3 Sr 0.661 0.625 0.536
Sr4 Sr 0.875 0.339 0.964
Ti1 Ti 0.250 0.750 0.500
Ti2 Ti 0.500 0.500 0.000
Ag1 Ag 0.000 0.000 0.000
Ag2 Ag 0.750 0.250 0.500
# ΔH_f (0 K) in eV/atom: 0.5841
# Calculated total energy in eV/atom: -2.94

---

5.
# Gd2DyPa PBE relaxed
data_Gd2DyPa
_chemical_formula_sum 'Gd2 Dy1 Pa1'
_cell_length_a 3.414
_cell_length_b 3.414
_cell_length_c 10.184
_cell_angle_alpha 90.00
_cell_angle_beta 90.00
_cell_angle_gamma 90.00
_space_group_name_H-M_alt 'P 1'
_space_group_IT_number 1
loop_
_space_group_symop_operation_xyz
'x,y,z'
loop_
_atom_site_label
_atom_site_type_symbol
_atom_site_fract_x
_atom_site_fract_y
_atom_site_fract_z
Gd1 Gd 0.000 0.000 0.232
Gd2 Gd 0.000 0.000 0.768
Dy1 Dy 0.500 0.500 0.500
Pa1 Pa 0.500 0.500 0.000
# ΔH_f (0 K) in eV/atom: 0.1286
# Calculated total energy in eV/atom: -10.44

---

6.
# TbPr4Dy8 PBE relaxed
data_TbPr4Dy8
_chemical_formula_sum 'Tb1 Pr4 Dy8'
_cell_length_a 7.836
_cell_length_b 7.836
_cell_length_c 7.836
_cell_angle_alpha 90.11
_cell_angle_beta 90.11
_cell_angle_gamma 90.11
_space_group_name_H-M_alt 'P 1'
_space_group_IT_number 1
loop_
_space_group_symop_operation_xyz
'x,y,z'
loop_
_atom_site_label
_atom_site_type_symbol
_atom_site_fract_x
_atom_site_fract_y
_atom_site_fract_z
Tb1 Tb 0.000 0.000 0.000
Pr1 Pr 0.000 0.000 0.500
Pr2 Pr 0.000 0.500 0.000
Pr3 Pr 0.500 0.000 0.000
Pr4 Pr 0.500 0.500 0.500
Dy1 Dy 0.259 0.739 0.739
Dy2 Dy 0.260 0.260 0.260
Dy3 Dy 0.261 0.261 0.741
Dy4 Dy 0.261 0.741 0.261
Dy5 Dy 0.739 0.259 0.739
Dy6 Dy 0.739 0.739 0.259
Dy7 Dy 0.740 0.740 0.740
Dy8 Dy 0.741 0.261 0.261
# ΔH_f (0 K) in eV/atom: 0.5187
# Calculated total energy in eV/atom: -4.14